# RbPmW2O8 | Alexandria | PBE+U | relaxed
# E_tot ... -7.3359 eV per atom
# Magnetic moment ... 0.000 μB/atom
# Symmetry ... P-3 (147)
data_RbPmW2O8
_space_group_name_H-M_alt 'P 1'
_space_group_IT_number 1
_space_group_name_Hall 'P 1'
_cell_length_a 6.176
_cell_length_b 6.176
_cell_length_c 7.996
_cell_angle_alpha 90.00
_cell_angle_beta 90.00
_cell_angle_gamma 120.00
loop_
_atom_site_label
_atom_site_fract_x
_atom_site_fract_y
_atom_site_fract_z
Rb1 0.000 0.000 0.000
Pm1 0.000 0.000 0.500
W1 0.667 0.333 0.245
W2 0.333 0.667 0.755
O1 0.333 0.667 0.977
O2 0.343 0.173 0.319
O3 0.827 0.170 0.319
O4 0.667 0.333 0.023
O5 0.173 0.830 0.681
O6 0.657 0.827 0.681
O7 0.170 0.343 0.681
O8 0.830 0.657 0.319